# 1
Density functional theory data (GGA-PBE) for crystalline FeC3 at its relaxed geometry.

Properties
The calculation puts the energy relative to the lowest polymorph listed for this composition at 769 meV/atom. The magnetic moment is 1.4 μB/f.u. The formation energy from the elements comes out at 1339.7 meV/atom. The space group is P2/m (10).

a b c (Å): 3.283 2.458 4.137
angles (deg): 90.00 108.64 90.00
Atoms (fractional coordinates):
Fe 0.000 0.000 0.000
C 0.000 0.000 0.500
C 0.270 0.500 0.403
C 0.730 0.500 0.597

# 2
Density functional theory data (GGA-PBE) for crystalline FeC at its relaxed geometry.

Properties
The magnetic moment is 0.5 μB/f.u. The formation energy from the elements comes out at 587.7 meV/atom. The space group is Fddd (70).

a b c (Å): 5.852 5.290 4.849
angles (deg): 70.36 58.35 51.29
Atoms (fractional coordinates):
Fe 0.014 0.014 0.736
Fe 0.264 0.264 0.986
Fe 0.736 0.736 0.014
Fe 0.986 0.986 0.264
C 0.061 0.689 0.061
C 0.311 0.939 0.311
C 0.689 0.061 0.689
C 0.939 0.311 0.939

# 3
Density functional theory data (GGA-PBE) for crystalline FeC2 at its relaxed geometry.

Properties
The calculation puts the energy relative to the lowest polymorph listed for this composition at 49 meV/atom. The magnetic moment is 2.2 μB/f.u. The formation energy from the elements comes out at 567.3 meV/atom. The space group is P6_3/mmc (194).

a b c (Å): 2.510 2.510 9.228
angles (deg): 90.00 90.00 120.00
Atoms (fractional coordinates):
Fe 0.333 0.667 0.250
Fe 0.667 0.333 0.750
C 0.333 0.667 0.008
C 0.333 0.667 0.492
C 0.667 0.333 0.508
C 0.667 0.333 0.992